[1]
A plane-wave DFT calculation with GGA-PBE was carried out for a relaxed Sm3Ga5Sb12 crystal.

Geometry as POSCAR:
```
Sm3Ga5Sb12
1.0
-6.754 -13.680 -1.048
9.254 2.049 -12.001
8.169 0.676 12.910
Sb Ga Sm
48 20 12
Cartesian
7.288 -9.780 3.619
-1.091 -11.968 -2.010
12.423 -2.364 -2.008
8.591 -2.012 5.407
11.760 1.013 1.871
-0.216 -7.047 -1.701
5.117 -8.974 7.102
2.287 -3.881 -3.954
6.495 -6.423 7.491
2.078 -8.943 -5.546
7.512 -10.098 -0.987
8.382 -7.074 3.815
3.475 -9.130 -10.996
13.881 -0.991 1.665
6.472 -2.771 -1.743
0.291 -5.290 2.804
-3.212 -9.964 -1.804
1.758 -11.673 8.775
8.780 -1.883 1.393
10.378 -5.665 -2.943
5.892 -10.430 -3.400
7.146 -6.244 -5.534
8.068 -2.400 -4.167
5.266 -6.460 -3.302
3.157 -0.857 0.848
4.776 -0.525 3.262
5.402 -4.495 3.164
4.174 -4.532 -7.630
5.816 -1.920 8.278
3.523 -4.710 5.395
9.985 0.560 5.420
4.197 -8.184 1.604
8.910 0.718 -8.914
10.589 0.679 -6.518
0.080 -11.634 6.379
1.889 -9.072 -1.532
3.380 -1.175 -3.758
0.684 -11.515 -5.559
10.885 -3.908 1.562
-1.755 -8.591 1.869
2.601 -8.555 4.028
5.552 -1.981 -7.241
8.557 -6.252 -0.729
2.111 -4.703 0.590
4.853 -9.035 -8.417
7.194 -1.825 10.857
0.125 -10.832 1.827
10.543 -0.123 -1.966
7.430 -1.543 -9.149
3.239 -9.412 9.010
3.781 -8.726 -3.445
5.334 -5.477 -0.069
6.001 -10.182 1.265
1.509 -11.035 4.152
5.918 -6.588 -7.928
4.751 -4.367 7.789
-3.377 -6.840 -0.524
9.159 0.080 -4.291
4.627 1.024 -6.001
4.668 -0.773 -1.404
0.708 -6.502 5.931
1.250 -5.816 -6.524
8.711 1.362 0.454
6.887 -2.229 3.306
9.867 -6.422 1.640
4.085 0.338 6.455
0.802 -4.533 -1.779
0.000 0.000 0.000
11.243 -1.548 3.533
5.376 -7.274 4.527
2.532 -2.910 3.079
2.052 -10.349 -8.304
13.380 0.590 -0.950
-0.574 -9.407 -3.672
1.156 -7.784 1.186
5.293 -3.681 -4.666
9.513 -3.171 -1.325
8.617 -0.606 8.165
-2.711 -11.545 0.811
8.137 -8.045 -3.218
```

Computed properties:
Formation energy (no corrections), kJ/mol of atoms: -11.3

=====

[2]
A plane-wave DFT calculation with GGA-PBE was carried out for a relaxed ZrZnCr2 crystal.

Geometry as POSCAR:
```
ZrZnCr2
1.0
4.502 0.000 0.000
2.251 3.899 0.000
2.251 1.300 3.676
Cr Zn Zr
2 1 1
Cartesian
2.251 1.300 0.919
0.000 0.000 0.000
4.502 2.599 1.838
6.753 3.899 2.757
```

Computed properties:
Energy relative to the elements, eV per atom: 0.1546

=====

[3]
A plane-wave DFT calculation with GGA-PBE was carried out for a relaxed RuF6 crystal.

Geometry as POSCAR:
```
RuF6
1.0
5.092 0.000 0.000
0.000 8.813 0.000
0.000 0.000 9.582
F Ru
24 4
Cartesian
4.016 2.203 4.653
3.890 7.924 4.944
1.202 0.890 4.639
4.496 6.610 2.304
4.763 3.516 2.498
3.142 6.610 7.095
3.890 5.296 4.944
1.950 2.203 2.487
1.076 6.610 4.930
1.344 3.517 9.430
2.217 5.297 2.294
0.329 5.297 7.085
3.748 5.296 0.152
2.875 3.516 7.289
1.202 3.517 4.639
1.344 0.890 9.430
4.763 0.891 2.498
3.622 2.203 9.444
1.470 6.610 0.139
0.329 7.923 7.085
0.596 2.203 7.278
2.875 0.891 7.289
2.217 7.923 2.294
3.748 7.924 0.152
2.981 6.610 1.223
2.111 2.203 8.360
0.435 2.203 3.569
4.657 6.610 6.014
```

Computed properties:
Formation energy (no corrections), kJ/mol of atoms: -149.3

=====

[4]
A plane-wave DFT calculation with GGA-PBE was carried out for a relaxed CaCrCl crystal.

Geometry as POSCAR:
```
CaCrCl
1.0
5.103 0.000 0.000
2.552 4.420 0.000
2.552 1.473 4.167
Cl Cr Ca
1 1 1
Cartesian
0.000 0.000 0.000
5.103 2.946 2.083
7.655 4.420 3.125
```

Computed properties:
Formation energy (no corrections), kJ/mol of atoms: 10.0
Offset from the most stable computed form, kJ/mol of formula units: 119

=====

| no. | density of states at the Fermi level (states/eV/atom) |
| --- | --- |
| 1 | 0.74 |
| 2 | 0.26 |
| 3 | 1.28 |
| 4 | 0.07 |